Record 1
# Sc2CrSe PBE-GGA relaxed
data_Sc2CrSe
_chemical_formula_sum 'Sc4 Cr2 Se2'
_cell_length_a 4.1242
_cell_length_b 3.5645
_cell_length_c 10.2736
_cell_angle_alpha 90.00
_cell_angle_beta 90.00
_cell_angle_gamma 90.00
_symmetry_space_group_name_H-M 'A m m 2'
_symmetry_Int_Tables_number 38
loop_
_symmetry_equiv_pos_as_xyz
'x,y,z'
'-x,-y,z'
'-x,y,z'
'x,-y,z'
'x,y+1/2,z+1/2'
'-x,-y+1/2,z+1/2'
'-x,y+1/2,z+1/2'
'x,-y+1/2,z+1/2'
loop_
_atom_site_label
_atom_site_type_symbol
_atom_site_fract_x
_atom_site_fract_y
_atom_site_fract_z
_atom_site_occupancy
Sc1 Sc 0.0000 0.0000 0.0000 1
Sc2 Sc 0.5000 0.0000 0.2955 1
Cr1 Cr 0.0000 0.0000 0.7294 1
Se1 Se 0.5000 0.0000 0.5732 1
# DFT total energy in eV per atom: -7.00
# Crystal system: orthorhombic
# E_form (uncorrected) in eV per atom: -0.561

---

Record 2
# Sc2CrSe PBE-GGA relaxed
data_Sc2CrSe
_chemical_formula_sum 'Sc6 Cr3 Se3'
_cell_length_a 3.3711
_cell_length_b 3.3711
_cell_length_c 25.0596
_cell_angle_alpha 90.00
_cell_angle_beta 90.00
_cell_angle_gamma 120.00
_symmetry_space_group_name_H-M 'R 3 m'
_symmetry_Int_Tables_number 160
_symmetry_space_group_name_Hall 'R 3 -2"'
loop_
_atom_site_label
_atom_site_type_symbol
_atom_site_fract_x
_atom_site_fract_y
_atom_site_fract_z
_atom_site_occupancy
Sc1 Sc 0.0000 0.0000 0.0000 1
Sc2 Sc 0.0000 0.0000 0.2281 1
Cr1 Cr 0.0000 0.0000 0.7578 1
Se1 Se 0.0000 0.0000 0.4826 1
# DFT total energy in eV per atom: -6.57
# Crystal system: trigonal
# E_form (uncorrected) in eV per atom: -0.124

---

Record 3
# ScCrSe2 PBE-GGA relaxed
data_ScCrSe2
_chemical_formula_sum 'Sc1 Cr1 Se2'
_cell_length_a 4.6831
_cell_length_b 4.6831
_cell_length_c 3.3756
_cell_angle_alpha 90.00
_cell_angle_beta 90.00
_cell_angle_gamma 90.00
_symmetry_space_group_name_H-M 'P 4/m m m'
_symmetry_Int_Tables_number 123
_symmetry_space_group_name_Hall '-P 4 2'
loop_
_atom_site_label
_atom_site_type_symbol
_atom_site_fract_x
_atom_site_fract_y
_atom_site_fract_z
_atom_site_occupancy
Sc1 Sc 0.0000 0.0000 0.0000 1
Cr1 Cr 0.5000 0.5000 0.0000 1
Se1 Se 0.0000 0.5000 0.5000 1
# DFT total energy in eV per atom: -6.42
# Energy above the lowest structure with this stoichiometry in eV/atom: 0.285
# Crystal system: tetragonal
# E_form (uncorrected) in eV per atom: -0.692

---

Record 4
# ScCr2Se PBE-GGA relaxed
data_ScCr2Se
_chemical_formula_sum 'Sc2 Cr4 Se2'
_cell_length_a 8.9678
_cell_length_b 3.1705
_cell_length_c 4.4464
_cell_angle_alpha 90.00
_cell_angle_beta 103.03
_cell_angle_gamma 90.00
_symmetry_space_group_name_H-M 'C 1 2/m 1'
_symmetry_Int_Tables_number 12
loop_
_symmetry_equiv_pos_as_xyz
'x,y,z'
'-x,-y,-z'
'-x,y,-z'
'x,-y,z'
'x+1/2,y+1/2,z'
'-x+1/2,-y+1/2,-z'
'-x+1/2,y+1/2,-z'
'x+1/2,-y+1/2,z'
loop_
_atom_site_label
_atom_site_type_symbol
_atom_site_fract_x
_atom_site_fract_y
_atom_site_fract_z
_atom_site_occupancy
Sc1 Sc 0.0000 0.0000 0.0000 1
Cr1 Cr 0.2364 0.0000 0.6764 1
Se1 Se 0.0000 0.5000 0.5000 1
# DFT total energy in eV per atom: -7.25
# Crystal system: monoclinic
# E_form (uncorrected) in eV per atom: 0.018

---

Record 5
# ScCrSe2 PBE-GGA relaxed
data_ScCrSe2
_chemical_formula_sum 'Sc3 Cr3 Se6'
_cell_length_a 4.1028
_cell_length_b 4.1028
_cell_length_c 21.4738
_cell_angle_alpha 90.00
_cell_angle_beta 90.00
_cell_angle_gamma 120.00
_symmetry_space_group_name_H-M 'R 3 m'
_symmetry_Int_Tables_number 160
_symmetry_space_group_name_Hall 'R 3 -2"'
loop_
_atom_site_label
_atom_site_type_symbol
_atom_site_fract_x
_atom_site_fract_y
_atom_site_fract_z
_atom_site_occupancy
Sc1 Sc 0.0000 0.0000 0.0000 1
Cr1 Cr 0.0000 0.0000 0.7656 1
Se1 Se 0.0000 0.0000 0.2765 1
Se2 Se 0.0000 0.0000 0.4486 1
# DFT total energy in eV per atom: -6.35
# Energy above the lowest structure with this stoichiometry in eV/atom: 0.362
# Crystal system: trigonal
# E_form (uncorrected) in eV per atom: -0.615

---

Record 6
# ScCrSe PBE-GGA relaxed
data_ScCrSe
_chemical_formula_sum 'Sc6 Cr6 Se6'
_cell_length_a 3.7226
_cell_length_b 3.7226
_cell_length_c 28.9024
_cell_angle_alpha 90.00
_cell_angle_beta 90.00
_cell_angle_gamma 120.00
_symmetry_space_group_name_H-M 'R 3 m'
_symmetry_Int_Tables_number 160
_symmetry_space_group_name_Hall 'R 3 -2"'
loop_
_atom_site_label
_atom_site_type_symbol
_atom_site_fract_x
_atom_site_fract_y
_atom_site_fract_z
_atom_site_occupancy
Sc1 Sc 0.0000 0.0000 0.0000 1
Sc2 Sc 0.0000 0.0000 0.1242 1
Cr1 Cr 0.0000 0.0000 0.2410 1
Cr2 Cr 0.0000 0.0000 0.6042 1
Se1 Se 0.0000 0.0000 0.3972 1
Se2 Se 0.0000 0.0000 0.5167 1
# DFT total energy in eV per atom: -7.06
# Energy above the lowest structure with this stoichiometry in eV/atom: 0.060
# Crystal system: trigonal
# E_form (uncorrected) in eV per atom: -0.583